# 1
# BaTa4P, relaxed, DFT GGA-PBE
# Total energy, eV per formula unit: -48.908
# Crystal system: cubic
# Formation enthalpy at 0 K, eV/atom: 0.97
# Symmetry: F-43m
# ρ, g/cm³: 11.19
# Size of the total moment, μB per formula unit: 0.00
data_BaTa4P
_chemical_formula_sum 'Ba1 Ta4 P1'
_cell_length_a 5.720
_cell_length_b 5.720
_cell_length_c 5.720
_cell_angle_alpha 60.00
_cell_angle_beta 60.00
_cell_angle_gamma 60.00
_space_group_name_H-M_alt 'P 1'
_space_group_IT_number 1
loop_
_space_group_symop_operation_xyz
'x,y,z'
loop_
_atom_site_label
_atom_site_type_symbol
_atom_site_fract_x
_atom_site_fract_y
_atom_site_fract_z
Ba1 Ba 0.750 0.750 0.750
Ta1 Ta 0.867 0.378 0.378
Ta2 Ta 0.378 0.378 0.867
Ta3 Ta 0.378 0.867 0.378
Ta4 Ta 0.378 0.378 0.378
P1 P 0.000 0.000 0.000



# 2
# MnSb2P, relaxed, DFT GGA-PBE
# Total energy, eV per formula unit: -22.119
# Crystal system: orthorhombic
# Symmetry: Imm2
# Formation energy without anion corrections, eV per atom: 0.18
# ρ, g/cm³: 6.17
# Size of the total moment, μB per formula unit: 3.12
data_MnSb2P
_chemical_formula_sum 'Mn1 Sb2 P1'
_cell_length_a 7.270
_cell_length_b 7.270
_cell_length_c 7.270
_cell_angle_alpha 152.38
_cell_angle_beta 150.09
_cell_angle_gamma 41.16
_space_group_name_H-M_alt 'P 1'
_space_group_IT_number 1
loop_
_space_group_symop_operation_xyz
'x,y,z'
loop_
_atom_site_label
_atom_site_type_symbol
_atom_site_fract_x
_atom_site_fract_y
_atom_site_fract_z
Mn1 Mn 0.432 0.432 0.000
Sb1 Sb 0.024 0.024 0.000
Sb2 Sb 0.734 0.234 0.500
P1 P 0.310 0.810 0.500



# 3
# CaRePt, relaxed, DFT GGA-PBE
# Polymorph energy (0 for the lowest one), eV per atom: 0.000
# Total energy, eV per formula unit: -20.179
# Crystal system: tetragonal
# Formation enthalpy at 0 K, eV/atom: 0.10
# Symmetry: I4mm
# ρ, g/cm³: 12.68
# Size of the total moment, μB per formula unit: 0.00
data_CaRePt
_chemical_formula_sum 'Ca1 Re1 Pt1'
_cell_length_a 6.876
_cell_length_b 6.876
_cell_length_c 2.900
_cell_angle_alpha 77.83
_cell_angle_beta 77.83
_cell_angle_gamma 24.34
_space_group_name_H-M_alt 'P 1'
_space_group_IT_number 1
loop_
_space_group_symop_operation_xyz
'x,y,z'
loop_
_atom_site_label
_atom_site_type_symbol
_atom_site_fract_x
_atom_site_fract_y
_atom_site_fract_z
Re1 Re 0.315 0.315 0.685
Ca1 Ca 0.001 0.001 0.999
Pt1 Pt 0.684 0.684 0.316